No. 1
# LaVCd GGA-PBE relaxed
# Relative energy among the computed polymorphs = 0 meV per atom
# Formation energy = 0.5 eV/f.u.
data_LaVCd
_chemical_formula_sum 'La4 V4 Cd4'
_symmetry_space_group_name_H-M 'C 1 2 1'
_symmetry_Int_Tables_number 5
_symmetry_space_group_name_Hall 'C 2y'
_cell_length_a 9.117
_cell_length_b 8.169
_cell_length_c 4.569
_cell_angle_alpha 90.00
_cell_angle_beta 117.76
_cell_angle_gamma 90.00
loop_
_atom_site_label
_atom_site_type_symbol
_atom_site_fract_x
_atom_site_fract_y
_atom_site_fract_z
La1 La 0.189 0.000 0.434
V1 V 0.052 0.333 0.860
Cd1 Cd 0.109 0.696 0.858


No. 2
# BeCdHg2 GGA-PBE relaxed
# Relative energy among the computed polymorphs = 75 meV per atom
# Formation energy = 1.2 eV/f.u.
data_BeCdHg2
_chemical_formula_sum 'Be1 Cd1 Hg2'
_symmetry_space_group_name_H-M 'P 4 m m'
_symmetry_Int_Tables_number 99
_symmetry_space_group_name_Hall 'P 4 -2'
_cell_length_a 3.093
_cell_length_b 3.093
_cell_length_c 8.384
_cell_angle_alpha 90.00
_cell_angle_beta 90.00
_cell_angle_gamma 90.00
loop_
_atom_site_label
_atom_site_type_symbol
_atom_site_fract_x
_atom_site_fract_y
_atom_site_fract_z
Be1 Be 0.000 0.000 0.000
Cd1 Cd 0.500 0.500 0.197
Hg1 Hg 0.000 0.000 0.499
Hg2 Hg 0.500 0.500 0.819


No. 3
# Ca2Al3Au2 GGA-PBE relaxed
# Formation energy = -3.9 eV/f.u.
data_Ca2Al3Au2
_chemical_formula_sum 'Ca4 Al6 Au4'
_symmetry_space_group_name_H-M 'C 1 2/m 1'
_symmetry_Int_Tables_number 12
_symmetry_space_group_name_Hall '-C 2y'
_cell_length_a 10.698
_cell_length_b 4.355
_cell_length_c 7.146
_cell_angle_alpha 90.00
_cell_angle_beta 116.89
_cell_angle_gamma 90.00
loop_
_atom_site_label
_atom_site_type_symbol
_atom_site_fract_x
_atom_site_fract_y
_atom_site_fract_z
Ca1 Ca 0.148 0.000 0.278
Al1 Al 0.000 0.500 0.500
Al2 Al 0.119 0.500 0.937
Au1 Au 0.138 0.000 0.726


No. 4
# Li2LaSm2Bi2 GGA-PBE relaxed
# Formation energy = -3.3 eV/f.u.
data_Li2LaSm2Bi2
_chemical_formula_sum 'Li6 La3 Sm6 Bi6'
_symmetry_space_group_name_H-M 'R -3 m'
_symmetry_Int_Tables_number 166
_symmetry_space_group_name_Hall '-R 3 2"'
_cell_length_a 4.9308
_cell_length_b 4.9308
_cell_length_c 27.8543
_cell_angle_alpha 90.00
_cell_angle_beta 90.00
_cell_angle_gamma 120.00
loop_
_atom_site_label
_atom_site_type_symbol
_atom_site_fract_x
_atom_site_fract_y
_atom_site_fract_z
Li1 Li 0.0000 0.0000 0.0856
La1 La 0.0000 0.0000 0.5000
Sm1 Sm 0.0000 0.0000 0.3685
Bi1 Bi 0.0000 0.0000 0.2375


No. 5
# Ba2YZn GGA-PBE relaxed
# Formation energy = 0.4 eV/f.u.
data_Ba2YZn
_chemical_formula_sum 'Ba6 Y3 Zn3'
_symmetry_space_group_name_H-M 'R 3 m'
_symmetry_Int_Tables_number 160
_symmetry_space_group_name_Hall 'R 3 -2"'
_cell_length_a 4.1351
_cell_length_b 4.1351
_cell_length_c 34.1940
_cell_angle_alpha 90.00
_cell_angle_beta 90.00
_cell_angle_gamma 120.00
loop_
_atom_site_label
_atom_site_type_symbol
_atom_site_fract_x
_atom_site_fract_y
_atom_site_fract_z
Ba1 Ba 0.0000 0.0000 0.0000
Ba2 Ba 0.0000 0.0000 0.2182
Y1 Y 0.0000 0.0000 0.7614
Zn1 Zn 0.0000 0.0000 0.4804


No. 6
# Nd12Tm6Cd GGA-PBE relaxed
# Formation energy = 2.2 eV/f.u.
data_Nd12Tm6Cd
_chemical_formula_sum 'Nd36 Tm18 Cd3'
_symmetry_space_group_name_H-M 'R -3'
_symmetry_Int_Tables_number 148
_symmetry_space_group_name_Hall '-R 3'
_cell_length_a 13.1211
_cell_length_b 13.1211
_cell_length_c 12.9082
_cell_angle_alpha 90.00
_cell_angle_beta 90.00
_cell_angle_gamma 120.00
loop_
_atom_site_label
_atom_site_type_symbol
_atom_site_fract_x
_atom_site_fract_y
_atom_site_fract_z
Nd1 Nd 0.0005 0.2593 0.0002
Nd2 Nd 0.0595 0.5299 0.1104
Tm1 Tm 0.0889 0.1788 0.7727
Cd1 Cd 0.0000 0.0000 0.0000


No. 7
# GdDyBeIr GGA-PBE relaxed
# Formation energy = -1.5 eV/f.u.
data_GdDyBeIr
_chemical_formula_sum 'Gd4 Dy4 Be4 Ir4'
_symmetry_space_group_name_H-M 'F -4 3 m'
_symmetry_Int_Tables_number 216
_symmetry_space_group_name_Hall 'F -4 2 3'
_cell_length_a 6.887
_cell_length_b 6.887
_cell_length_c 6.887
_cell_angle_alpha 90.00
_cell_angle_beta 90.00
_cell_angle_gamma 90.00
loop_
_atom_site_label
_atom_site_type_symbol
_atom_site_fract_x
_atom_site_fract_y
_atom_site_fract_z
Gd1 Gd 0.000 0.000 0.000
Dy1 Dy 0.000 0.000 0.500
Be1 Be 0.250 0.250 0.750
Ir1 Ir 0.250 0.250 0.250


No. 8
# P5Ru3 GGA-PBE relaxed
# Relative energy among the computed polymorphs = 0 meV per atom
# Formation energy = -0.3 eV/f.u.
data_P5Ru3
_chemical_formula_sum 'P40 Ru24'
_symmetry_space_group_name_H-M 'F m m m'
_symmetry_Int_Tables_number 69
_symmetry_space_group_name_Hall '-F 2 2'
_cell_length_a 7.169
_cell_length_b 11.979
_cell_length_c 12.032
_cell_angle_alpha 90.00
_cell_angle_beta 90.00
_cell_angle_gamma 90.00
loop_
_atom_site_label
_atom_site_type_symbol
_atom_site_fract_x
_atom_site_fract_y
_atom_site_fract_z
P1 P 0.000 0.113 0.206
P2 P 0.000 0.207 0.386
P3 P 0.250 0.000 0.000
Ru1 Ru 0.000 0.000 0.383
Ru2 Ru 0.000 0.118 0.000
Ru3 Ru 0.250 0.250 0.250


No. 9
# Pr5Te4Ir GGA-PBE relaxed
# E_form (uncorrected) = -1213 kJ/mol of formula units
data_Pr5Te4Ir
_chemical_formula_sum 'Pr10 Te8 Ir2'
_symmetry_space_group_name_H-M 'I 4/m m m'
_symmetry_Int_Tables_number 139
_symmetry_space_group_name_Hall '-I 4 2'
_cell_length_a 4.451
_cell_length_b 4.451
_cell_length_c 32.092
_cell_angle_alpha 90.00
_cell_angle_beta 90.00
_cell_angle_gamma 90.00
loop_
_atom_site_label
_atom_site_type_symbol
_atom_site_fract_x
_atom_site_fract_y
_atom_site_fract_z
Pr1 Pr 0.000 0.000 0.000
Pr2 Pr 0.000 0.000 0.208
Pr3 Pr 0.000 0.000 0.415
Te1 Te 0.000 0.000 0.104
Te2 Te 0.000 0.000 0.309
Ir1 Ir 0.000 0.000 0.500


No. 10
# LiMg2Al GGA-PBE relaxed
# Formation energy = -0.1 eV/f.u.
data_LiMg2Al
_chemical_formula_sum 'Li3 Mg6 Al3'
_symmetry_space_group_name_H-M 'R -3 m'
_symmetry_Int_Tables_number 166
_symmetry_space_group_name_Hall '-R 3 2"'
_cell_length_a 3.0755
_cell_length_b 3.0755
_cell_length_c 29.4416
_cell_angle_alpha 90.00
_cell_angle_beta 90.00
_cell_angle_gamma 120.00
loop_
_atom_site_label
_atom_site_type_symbol
_atom_site_fract_x
_atom_site_fract_y
_atom_site_fract_z
Li1 Li 0.0000 0.0000 0.0000
Mg1 Mg 0.0000 0.0000 0.2495
Al1 Al 0.0000 0.0000 0.5000


No. 11
# K2SiAs GGA-PBE relaxed
# E_form (uncorrected) = 94 kJ/mol of formula units
# Relative energy among the computed polymorphs = 479 meV per atom
data_K2SiAs
_chemical_formula_sum 'K4 Si2 As2'
_symmetry_space_group_name_H-M 'C m m m'
_symmetry_Int_Tables_number 65
_symmetry_space_group_name_Hall '-C 2 2'
_cell_length_a 6.298
_cell_length_b 10.581
_cell_length_c 3.062
_cell_angle_alpha 90.00
_cell_angle_beta 90.00
_cell_angle_gamma 90.00
loop_
_atom_site_label
_atom_site_type_symbol
_atom_site_fract_x
_atom_site_fract_y
_atom_site_fract_z
K1 K 0.250 0.250 0.000
Si1 Si 0.000 0.000 0.500
As1 As 0.000 0.500 0.500


No. 12
# Ac6GeIr2Br2 GGA-PBE relaxed
# E_form (uncorrected) = -987 kJ/mol of formula units
data_Ac6GeIr2Br2
_chemical_formula_sum 'Ac12 Ge2 Ir4 Br4'
_symmetry_space_group_name_H-M 'C 1 2/m 1'
_symmetry_Int_Tables_number 12
_symmetry_space_group_name_Hall '-C 2y'
_cell_length_a 7.900
_cell_length_b 13.323
_cell_length_c 8.121
_cell_angle_alpha 90.00
_cell_angle_beta 107.59
_cell_angle_gamma 90.00
loop_
_atom_site_label
_atom_site_type_symbol
_atom_site_fract_x
_atom_site_fract_y
_atom_site_fract_z
Ac1 Ac 0.212 0.000 0.205
Ac2 Ac 0.244 0.327 0.208
Ge1 Ge 0.000 0.500 0.000
Ir1 Ir 0.000 0.169 0.000
Br1 Br 0.000 0.341 0.500


No. 13
# Pm8AgIr5 GGA-PBE relaxed
# Formation energy = -8.1 eV/f.u.
data_Pm8AgIr5
_chemical_formula_sum 'Pm16 Ag2 Ir10'
_symmetry_space_group_name_H-M 'I -4'
_symmetry_Int_Tables_number 82
_symmetry_space_group_name_Hall 'I -4'
_cell_length_a 8.930
_cell_length_b 8.930
_cell_length_c 8.831
_cell_angle_alpha 90.00
_cell_angle_beta 90.00
_cell_angle_gamma 90.00
loop_
_atom_site_label
_atom_site_type_symbol
_atom_site_fract_x
_atom_site_fract_y
_atom_site_fract_z
Pm1 Pm 0.061 0.193 0.321
Pm2 Pm 0.066 0.323 0.934
Ag1 Ag 0.000 0.000 0.000
Ir1 Ir 0.000 0.500 0.250
Ir2 Ir 0.132 0.253 0.628


no.,density of states at the Fermi level (states/eV/atom)
1,1.23
2,0.44
3,0.50
4,0.84
5,1.50
6,1.29
7,0.66
8,0.30
9,0.52
10,0.31
11,0.78
12,0.93
13,0.28